Record 1
Here is crystalline Na2SbPb2 at its relaxed geometry from the Alexandria database. Energies are from PBE-GGA.

energy above the most stable polymorph in this dataset: 0.0 meV per atom
symmetry: Fmmm

Unit cell a=4.2014 b=4.2025 c=8.7648 alpha=76.20 beta=76.19 gamma=90.11
Last column: nearest neighbours and their distance in Å.
Element x y z (fractional)
Pb1 0.9990 0.7991 0.4021  1 Sb 3.32, 4 Pb 3.38, 5 Na 3.42-3.48
Pb2 0.4008 0.2008 0.5979  1 Sb 3.32, 4 Pb 3.38, 5 Na 3.42-3.48
Na1 0.7910 0.5910 0.8170  1 Na 3.02, 4 Sb 3.33-3.34
Na2 0.6090 0.4091 0.1830  1 Na 3.02, 4 Sb 3.33-3.34
Sb1 0.2001 0.0000 0.0000  2 Pb 3.32, 8 Na 3.33-3.34

***

Record 2
Here is crystalline Li2SiSe at its relaxed geometry from the Alexandria database. Energies are from PBE-GGA.

energy above the most stable polymorph in this dataset: 120.4 meV per atom
symmetry: Immm

Unit cell a=4.9917 b=4.9917 c=4.9917 alpha=135.40 beta=130.44 gamma=68.85
Last column: nearest neighbours and their distance in Å.
Element x y z (fractional)
Li1 0.0039 0.0039 0.0000  4 Se 2.77-2.96, 4 Si 2.82-2.91, 4 Li 2.82
Li2 0.4961 0.4961 0.0000  4 Se 2.77-2.96, 4 Si 2.82-2.91, 4 Li 2.82
Se1 0.2500 0.7500 0.5000  8 Li 2.77-2.96, 4 Si 2.82
Si1 0.7500 0.2500 0.5000  8 Li 2.82-2.91, 4 Se 2.82

***

In eV/atom, the DFT total energy values for the records above are, in order, -2.9671 -3.5383.